## ZnHgTe2 (PBE)

Data for a relaxed ZnHgTe2 crystal.

The structure belongs to space group C2/m (No. 12); the cell edges are 7.0188, 5.1550 and 7.5212 Å and the angles 90.00°, 98.82° and 90.00°. Symmetry generates all atoms from Zn at (0.0000, 0.0000, 0.0000), Hg at (0.0000, 0.0000, 0.5000) and Te at (0.2320, 0.5000, 0.2014).

For the formation energy from raw total energies, the calculation gives -0.111 eV/atom.